Record 1
The following is a DFT calculation (GGA-PBE) of a relaxed structure of ThHg2Ge.

**D(E_F)**: 10.41 states/eV per cell
**Formation enthalpy at 0 K**: 0.316 eV per atom

```
data_ThHg2Ge
_cell_length_a 3.3295
_cell_length_b 3.3295
_cell_length_c 33.8529
_cell_angle_alpha 90.00
_cell_angle_beta 90.00
_cell_angle_gamma 120.00
_symmetry_space_group_name_H-M 'P 1'
_symmetry_Int_Tables_number 1
_symmetry_space_group_name_Hall 'P 1'
loop_
_atom_site_label
_atom_site_fract_x
_atom_site_fract_y
_atom_site_fract_z
_atom_site_occupancy
Th1 0.0000 0.0000 0.0000 1
Th2 0.3333 0.6667 0.6667 1
Th3 0.6667 0.3333 0.3333 1
Hg1 0.0000 0.0000 0.0944 1
Hg2 0.0000 0.0000 0.9056 1
Hg3 0.3333 0.6667 0.5722 1
Hg4 0.3333 0.6667 0.7611 1
Hg5 0.6667 0.3333 0.2389 1
Hg6 0.6667 0.3333 0.4278 1
Ge1 0.0000 0.0000 0.5000 1
Ge2 0.3333 0.6667 0.1667 1
Ge3 0.6667 0.3333 0.8333 1
```

---

Record 2
The following is a DFT calculation (GGA-PBE) of a relaxed structure of ThHgGe4.

**D(E_F)**: 2.25 states/eV per cell
**Formation enthalpy at 0 K**: -0.145 eV per atom

```
data_ThHgGe4
_cell_length_a 5.6597
_cell_length_b 5.6597
_cell_length_c 5.6597
_cell_angle_alpha 60.00
_cell_angle_beta 60.00
_cell_angle_gamma 60.00
_symmetry_space_group_name_H-M 'P 1'
_symmetry_Int_Tables_number 1
_symmetry_space_group_name_Hall 'P 1'
loop_
_atom_site_label
_atom_site_fract_x
_atom_site_fract_y
_atom_site_fract_z
_atom_site_occupancy
Th1 0.0000 0.0000 0.0000 1
Hg1 0.2500 0.2500 0.2500 1
Ge1 0.1224 0.6259 0.6259 1
Ge2 0.6259 0.1224 0.6259 1
Ge3 0.6259 0.6259 0.1224 1
Ge4 0.6259 0.6259 0.6259 1
```

---

Record 3
The following is a DFT calculation (GGA-PBE) of a relaxed structure of ThHg2Ge.

**D(E_F)**: 1.26 states/eV per cell
**Formation enthalpy at 0 K**: -0.346 eV per atom

```
data_ThHg2Ge
_cell_length_a 4.3845
_cell_length_b 4.3845
_cell_length_c 5.1140
_cell_angle_alpha 90.00
_cell_angle_beta 90.00
_cell_angle_gamma 90.00
_symmetry_space_group_name_H-M 'P 1'
_symmetry_Int_Tables_number 1
_symmetry_space_group_name_Hall 'P 1'
loop_
_atom_site_label
_atom_site_fract_x
_atom_site_fract_y
_atom_site_fract_z
_atom_site_occupancy
Th1 0.0000 0.0000 0.0000 1
Hg1 0.0000 0.5000 0.5000 1
Hg2 0.5000 0.0000 0.5000 1
Ge1 0.5000 0.5000 0.0000 1
```

---

Record 4
The following is a DFT calculation (GGA-PBE) of a relaxed structure of Th2HgGe.

**D(E_F)**: 2.99 states/eV per cell
**Formation enthalpy at 0 K**: -0.415 eV per atom

```
data_Th2HgGe
_cell_length_a 3.8951
_cell_length_b 3.8951
_cell_length_c 6.9779
_cell_angle_alpha 90.00
_cell_angle_beta 90.00
_cell_angle_gamma 90.00
_symmetry_space_group_name_H-M 'P 1'
_symmetry_Int_Tables_number 1
_symmetry_space_group_name_Hall 'P 1'
loop_
_atom_site_label
_atom_site_fract_x
_atom_site_fract_y
_atom_site_fract_z
_atom_site_occupancy
Th1 0.0000 0.0000 0.2326 1
Th2 0.0000 0.0000 0.7674 1
Hg1 0.5000 0.5000 0.5000 1
Ge1 0.5000 0.5000 0.0000 1
```

---

Which formula does entry 3 have? ThHg2Ge

---

Which of these has the highest formation enthalpy at 0 K? number 1

---

The lowest D(E_F) belongs to which entry? number 3